(1)
! Zr6CuBi2, relaxed, DFT GGA-PBEsol; values from VASP
&SYSTEM
  ibrav = 0, nat = 9, ntyp = 3
/
ATOMIC_SPECIES
Bi 208.98 Bi.upf
Zr 91.22 Zr.upf
Cu 63.55 Cu.upf
CELL_PARAMETERS angstrom
3.751 0.000 0.000
0.000 7.773 0.000
0.000 -3.887 6.732
ATOMIC_POSITIONS crystal
Bi 0.000 0.667 0.333
Bi 0.000 0.333 0.667
Zr 0.000 0.239 0.000
Zr 0.500 0.605 0.000
Zr 0.000 0.761 0.761
Zr 0.500 0.000 0.605
Zr 0.500 0.395 0.395
Zr 0.000 0.000 0.239
Cu 0.500 0.000 0.000
! Electronic total energy (eV for the cell shown): -70.5

---

(2)
! DyBi, relaxed, DFT GGA-PBEsol; values from VASP
&SYSTEM
  ibrav = 0, nat = 2, ntyp = 2
/
ATOMIC_SPECIES
Dy 162.50 Dy.upf
Bi 208.98 Bi.upf
CELL_PARAMETERS angstrom
4.398 0.000 0.000
2.199 3.809 0.000
2.199 1.270 3.591
ATOMIC_POSITIONS crystal
Dy 0.500 0.500 0.500
Bi 0.000 0.000 0.000
! Electronic total energy (eV for the cell shown): -11.1

---

(3)
! Dy6MnBi2, relaxed, DFT GGA-PBEsol; values from VASP
&SYSTEM
  ibrav = 0, nat = 9, ntyp = 3
/
ATOMIC_SPECIES
Dy 162.50 Dy.upf
Bi 208.98 Bi.upf
Mn 54.94 Mn.upf
CELL_PARAMETERS angstrom
-1.862 3.742 0.055
-5.936 -2.883 -4.845
-0.756 -0.495 8.137
ATOMIC_POSITIONS crystal
Dy 0.500 0.606 0.606
Dy 0.000 0.000 0.768
Dy 0.000 0.768 0.000
Dy 0.500 0.000 0.394
Dy 0.000 0.232 0.232
Dy 0.500 0.394 0.000
Bi 0.000 0.667 0.333
Bi 0.000 0.333 0.667
Mn 0.500 0.000 0.000
! Electronic total energy (eV for the cell shown): -51.9

---

(4)
! Dy2Bi2O7, relaxed, DFT GGA-PBEsol; values from VASP
&SYSTEM
  ibrav = 0, nat = 22, ntyp = 3
/
ATOMIC_SPECIES
Bi 208.98 Bi.upf
O 16.00 O.upf
Dy 162.50 Dy.upf
CELL_PARAMETERS angstrom
7.622 0.000 0.000
3.811 6.601 0.000
3.811 2.200 6.224
ATOMIC_POSITIONS crystal
Bi 0.125 0.125 0.125
Bi 0.625 0.125 0.125
Bi 0.125 0.625 0.125
Bi 0.125 0.125 0.625
O 0.479 0.479 0.021
O 0.021 0.479 0.021
O 0.229 0.771 0.229
O 0.771 0.229 0.771
O 0.479 0.021 0.021
O 0.771 0.229 0.229
O 0.021 0.021 0.479
O 0.229 0.229 0.771
O 0.500 0.500 0.500
O 0.750 0.750 0.750
O 0.229 0.771 0.771
O 0.479 0.021 0.479
O 0.021 0.479 0.479
O 0.771 0.771 0.229
Dy 0.625 0.625 0.625
Dy 0.625 0.625 0.125
Dy 0.625 0.125 0.625
Dy 0.125 0.625 0.625
! Formation energy (no corrections) (eV per atom): -2.13

---

(5)
! Dy2BiO2, relaxed, DFT GGA-PBEsol; values from VASP
&SYSTEM
  ibrav = 0, nat = 5, ntyp = 3
/
ATOMIC_SPECIES
O 16.00 O.upf
Dy 162.50 Dy.upf
Bi 208.98 Bi.upf
CELL_PARAMETERS angstrom
-0.703 1.855 -3.277
-2.819 -2.469 -0.792
-2.583 4.252 5.200
ATOMIC_POSITIONS crystal
O 0.750 0.250 0.500
O 0.250 0.750 0.500
Dy 0.667 0.667 0.335
Dy 0.333 0.333 0.665
Bi 0.000 0.000 0.000
! Formation energy (no corrections) (eV per atom): -2.76

---

(6)
! Dy3BiRu4O14, relaxed, DFT GGA-PBEsol; values from VASP
&SYSTEM
  ibrav = 0, nat = 22, ntyp = 4
/
ATOMIC_SPECIES
Dy 162.50 Dy.upf
O 16.00 O.upf
Ru 101.07 Ru.upf
Bi 208.98 Bi.upf
CELL_PARAMETERS angstrom
7.141 0.002 0.001
3.542 6.201 0.001
3.542 2.056 5.850
ATOMIC_POSITIONS crystal
Dy 0.500 0.000 0.000
Dy 0.000 0.500 0.000
Dy 0.000 0.000 0.500
O 0.129 0.129 0.129
O 0.585 0.585 0.166
O 0.582 0.168 0.168
O 0.832 0.418 0.832
O 0.168 0.168 0.582
O 0.168 0.582 0.168
O 0.418 0.832 0.832
O 0.415 0.834 0.415
O 0.834 0.415 0.415
O 0.415 0.415 0.834
O 0.585 0.166 0.585
O 0.871 0.871 0.871
O 0.166 0.585 0.585
O 0.832 0.832 0.418
Ru 0.500 0.500 0.500
Ru 0.000 0.500 0.500
Ru 0.500 0.000 0.500
Ru 0.500 0.500 0.000
Bi 0.000 0.000 0.000
! Formation energy (no corrections) (eV per atom): -1.96

---

(7)
! DyBi3Ru4O14, relaxed, DFT GGA-PBEsol; values from VASP
&SYSTEM
  ibrav = 0, nat = 22, ntyp = 4
/
ATOMIC_SPECIES
O 16.00 O.upf
Ru 101.07 Ru.upf
Bi 208.98 Bi.upf
Dy 162.50 Dy.upf
CELL_PARAMETERS angstrom
7.197 0.000 0.000
3.599 6.233 0.000
3.599 2.078 5.919
ATOMIC_POSITIONS crystal
O 0.922 0.330 0.418
O 0.620 0.620 0.139
O 0.328 0.922 0.829
O 0.380 0.380 0.861
O 0.078 0.672 0.171
O 0.922 0.328 0.829
O 0.670 0.078 0.582
O 0.670 0.670 0.582
O 0.330 0.922 0.418
O 0.672 0.078 0.171
O 0.330 0.330 0.418
O 0.078 0.670 0.582
O 0.078 0.078 0.171
O 0.922 0.922 0.829
Ru 0.500 0.000 0.500
Ru 0.000 0.000 0.500
Ru 0.000 0.500 0.500
Ru 0.000 0.000 0.000
Bi 0.000 0.500 0.000
Bi 0.500 0.000 0.000
Bi 0.500 0.500 0.000
Dy 0.500 0.500 0.500
! Formation energy (no corrections) (eV per atom): -1.43

---

(8)
! Sr2DyBiO6, relaxed, DFT GGA-PBEsol; values from VASP
&SYSTEM
  ibrav = 0, nat = 10, ntyp = 4
/
ATOMIC_SPECIES
Dy 162.50 Dy.upf
O 16.00 O.upf
Sr 87.62 Sr.upf
Bi 208.98 Bi.upf
CELL_PARAMETERS angstrom
6.008 0.000 0.000
3.004 5.203 0.000
3.004 1.734 4.905
ATOMIC_POSITIONS crystal
Dy 0.500 0.500 0.500
O 0.245 0.755 0.245
O 0.245 0.755 0.755
O 0.245 0.245 0.755
O 0.755 0.245 0.245
O 0.755 0.245 0.755
O 0.755 0.755 0.245
Sr 0.250 0.250 0.250
Sr 0.750 0.750 0.750
Bi 0.000 0.000 0.000
! Formation energy (no corrections) (eV per atom): -2.38

---

For reference, density of states at the Fermi level by record: 0.91 0.16 0.65 0.58 0.14 0.56 0.29 0.00 states/eV/atom.